Material: Li12Ag6Bi
Method: DFT, GGA-PBE
State: optimized geometry

Total moment, μB per atom: 0.00
E_form, meV per atom: -155
Crystal system: trigonal

Lattice parameters (Å, degrees): 10.0934 10.0934 11.9755 90.00 90.00 120.00
Space group R-3 (No. 148, hexagonal axes)
Inequivalent atoms, fractional coordinates:
Li (0.0296, 0.8393, 0.3149)
Li (0.0583, 0.2168, 0.9132)
Ag (0.0041, 0.5826, 0.2019)
Bi (0.0000, 0.0000, 0.5000)